A relaxed structure of SbRu2W, computed with PBE-GGA. Values from VASP.

```
&SYSTEM
  ibrav = 0, nat = 4, ntyp = 3
/
ATOMIC_SPECIES
Ru 101.07 Ru.upf
Sb 121.76 Sb.upf
W 183.84 W.upf
ATOMIC_POSITIONS angstrom
Ru 0.000 2.977 5.181
Ru 2.041 1.497 1.506
Sb 0.000 2.987 2.523
W 2.041 4.474 4.209
CELL_PARAMETERS angstrom
4.081 0.000 0.000
0.000 2.993 0.007
0.000 2.978 5.363
```

DFT total energy: -8.635 eV per atom